1.
Density functional theory data (GGA-PBE) for a relaxed structure of Pu4Bi2Ru. Values from VASP.

Geometry as Quantum ESPRESSO input:
```
&SYSTEM
  ibrav = 0, nat = 14, ntyp = 3
/
ATOMIC_SPECIES
Pu 244.00 Pu.upf
Bi 208.98 Bi.upf
Ru 101.07 Ru.upf
ATOMIC_POSITIONS crystal
Pu 0.136 0.250 0.054
Pu 0.244 0.750 0.491
Pu 0.265 0.002 0.707
Pu 0.265 0.498 0.707
Pu 0.735 0.502 0.293
Pu 0.735 0.998 0.293
Pu 0.756 0.250 0.509
Pu 0.864 0.750 0.946
Bi 0.230 0.250 0.392
Bi 0.383 0.750 0.034
Bi 0.617 0.250 0.966
Bi 0.770 0.750 0.608
Ru 0.084 0.750 0.226
Ru 0.916 0.250 0.774
CELL_PARAMETERS angstrom
6.046 0.000 0.000
0.000 6.247 0.000
-1.508 0.000 9.471
```

## Properties
The formation energy from the elements is -108 meV per atom.

---

2.
Density functional theory data (GGA-PBE) for a relaxed structure of PuBiRu2. Values from VASP.

Geometry as Quantum ESPRESSO input:
```
&SYSTEM
  ibrav = 0, nat = 4, ntyp = 3
/
ATOMIC_SPECIES
Pu 244.00 Pu.upf
Bi 208.98 Bi.upf
Ru 101.07 Ru.upf
ATOMIC_POSITIONS crystal
Pu 0.000 0.000 0.000
Bi 0.500 0.500 0.000
Ru 0.000 0.500 0.500
Ru 0.500 0.000 0.500
CELL_PARAMETERS angstrom
4.545 0.000 0.000
0.000 4.545 0.000
0.000 0.000 3.719
```

## Properties
The formation energy from the elements is 81 meV per atom.

---

3.
Density functional theory data (GGA-PBE) for a relaxed structure of PuBi2S6. Values from VASP.

Geometry as Quantum ESPRESSO input:
```
&SYSTEM
  ibrav = 0, nat = 18, ntyp = 3
/
ATOMIC_SPECIES
Pu 244.00 Pu.upf
Bi 208.98 Bi.upf
S 32.06 S.upf
ATOMIC_POSITIONS crystal
Pu 0.000 0.000 0.000
Pu 0.500 0.500 0.500
Bi 0.000 0.000 0.334
Bi 0.000 0.000 0.666
Bi 0.500 0.500 0.166
Bi 0.500 0.500 0.834
S 0.191 0.191 0.155
S 0.191 0.191 0.845
S 0.210 0.210 0.500
S 0.290 0.710 0.000
S 0.309 0.691 0.345
S 0.309 0.691 0.655
S 0.691 0.309 0.345
S 0.691 0.309 0.655
S 0.710 0.290 0.000
S 0.790 0.790 0.500
S 0.809 0.809 0.155
S 0.809 0.809 0.845
CELL_PARAMETERS angstrom
6.397 0.000 0.000
0.000 6.397 0.000
0.000 0.000 12.276
```

## Properties
For the raw formation energy, the calculation gives -0.47 eV/atom.

---

4.
Density functional theory data (GGA-PBE) for a relaxed structure of Pu3Bi5S12. Values from VASP.

Geometry as Quantum ESPRESSO input:
```
&SYSTEM
  ibrav = 0, nat = 80, ntyp = 3
/
ATOMIC_SPECIES
Pu 244.00 Pu.upf
Bi 208.98 Bi.upf
S 32.06 S.upf
ATOMIC_POSITIONS crystal
Pu 0.125 0.250 0.375
Pu 0.125 0.375 0.750
Pu 0.250 0.375 0.125
Pu 0.250 0.875 0.625
Pu 0.375 0.125 0.250
Pu 0.375 0.750 0.125
Pu 0.625 0.250 0.875
Pu 0.625 0.875 0.750
Pu 0.750 0.125 0.375
Pu 0.750 0.625 0.875
Pu 0.875 0.625 0.250
Pu 0.875 0.750 0.625
Bi 0.000 0.000 0.000
Bi 0.000 0.000 0.500
Bi 0.000 0.500 0.000
Bi 0.000 0.500 0.500
Bi 0.125 0.750 0.875
Bi 0.125 0.875 0.250
Bi 0.250 0.125 0.875
Bi 0.250 0.625 0.375
Bi 0.375 0.250 0.625
Bi 0.375 0.625 0.750
Bi 0.500 0.000 0.000
Bi 0.500 0.000 0.500
Bi 0.500 0.500 0.000
Bi 0.500 0.500 0.500
Bi 0.625 0.375 0.250
Bi 0.625 0.750 0.375
Bi 0.750 0.375 0.625
Bi 0.750 0.875 0.125
Bi 0.875 0.125 0.750
Bi 0.875 0.250 0.125
S 0.056 0.225 0.139
S 0.056 0.330 0.917
S 0.083 0.639 0.414
S 0.083 0.944 0.670
S 0.086 0.725 0.670
S 0.086 0.861 0.417
S 0.139 0.056 0.225
S 0.139 0.583 0.914
S 0.170 0.225 0.586
S 0.170 0.444 0.583
S 0.225 0.139 0.056
S 0.225 0.586 0.170
S 0.275 0.330 0.914
S 0.275 0.444 0.361
S 0.330 0.914 0.275
S 0.330 0.917 0.056
S 0.361 0.275 0.444
S 0.361 0.586 0.917
S 0.414 0.083 0.639
S 0.414 0.830 0.775
S 0.417 0.086 0.861
S 0.417 0.830 0.556
S 0.444 0.361 0.275
S 0.444 0.583 0.170
S 0.556 0.417 0.830
S 0.556 0.639 0.725
S 0.583 0.170 0.444
S 0.583 0.914 0.139
S 0.586 0.170 0.225
S 0.586 0.917 0.361
S 0.639 0.414 0.083
S 0.639 0.725 0.556
S 0.670 0.083 0.944
S 0.670 0.086 0.725
S 0.725 0.556 0.639
S 0.725 0.670 0.086
S 0.775 0.414 0.830
S 0.775 0.861 0.944
S 0.830 0.556 0.417
S 0.830 0.775 0.414
S 0.861 0.417 0.086
S 0.861 0.944 0.775
S 0.914 0.139 0.583
S 0.914 0.275 0.330
S 0.917 0.056 0.330
S 0.917 0.361 0.586
S 0.944 0.670 0.083
S 0.944 0.775 0.861
CELL_PARAMETERS angstrom
-8.225 8.225 8.225
8.225 -8.225 8.225
8.225 8.225 -8.225
```

## Properties
For the raw formation energy, the calculation gives -0.66 eV/atom.

---

5.
Density functional theory data (GGA-PBE) for a relaxed structure of Pu2BiS. Values from VASP.

Geometry as Quantum ESPRESSO input:
```
&SYSTEM
  ibrav = 0, nat = 4, ntyp = 3
/
ATOMIC_SPECIES
Pu 244.00 Pu.upf
Bi 208.98 Bi.upf
S 32.06 S.upf
ATOMIC_POSITIONS crystal
Pu 0.000 0.000 0.000
Pu 0.145 0.145 0.145
Bi 0.573 0.573 0.573
S 0.403 0.403 0.403
CELL_PARAMETERS angstrom
2.010 1.161 7.859
-2.010 1.161 7.859
0.000 -2.321 7.859
```

## Properties
For the raw formation energy, the calculation gives -0.86 eV/atom. The calculation puts the energy above the most stable polymorph in this dataset at 0.1401 eV per atom.

---

6.
Density functional theory data (GGA-PBE) for a relaxed structure of PuBi4S8. Values from VASP.

Geometry as Quantum ESPRESSO input:
```
&SYSTEM
  ibrav = 0, nat = 13, ntyp = 3
/
ATOMIC_SPECIES
Pu 244.00 Pu.upf
Bi 208.98 Bi.upf
S 32.06 S.upf
ATOMIC_POSITIONS crystal
Pu 0.000 0.000 0.000
Bi 0.000 0.000 0.500
Bi 0.000 0.500 0.000
Bi 0.500 0.000 0.000
Bi 0.500 0.500 0.500
S 0.243 0.756 0.756
S 0.244 0.244 0.757
S 0.244 0.757 0.244
S 0.246 0.246 0.246
S 0.754 0.754 0.754
S 0.756 0.243 0.756
S 0.756 0.756 0.243
S 0.757 0.244 0.244
CELL_PARAMETERS angstrom
3.989 2.303 6.604
-3.989 2.303 6.604
0.000 -4.606 6.604
```

## Properties
For the raw formation energy, the calculation gives -0.48 eV/atom.

---

Calculated N(E_F) (states/eV/f.u.), listed in the same order as above: 30.1 9.0 5.0 31.2 18.6 19.5